1.
PbF2 | Alexandria via LeMat-Bulk | SCAN | PBEsol geometry; E_tot = -2.2088 Ry per atom
1.0
3.851 0.000 0.000
0.000 6.386 0.000
0.000 0.000 7.637
F Pb
8 4
Cartesian
0.963 3.039 6.464
2.888 4.093 4.331
2.888 0.900 7.124
0.963 6.232 4.991
0.963 2.293 3.306
2.888 3.347 1.172
0.963 5.486 0.512
2.888 0.154 2.646
0.963 4.828 3.011
0.963 1.635 0.807
2.888 1.558 4.626
2.888 4.751 6.829


2.
Sm3AlFeS7 | Alexandria via LeMat-Bulk | SCAN | PBEsol geometry; E_tot = -1.5235 Ry per atom
1.0
6.237 0.000 0.000
0.000 9.793 0.000
0.000 -4.897 8.481
S Fe Sm Al
14 2 6 2
Cartesian
1.141 3.105 7.675
1.141 0.198 1.954
3.035 4.897 2.827
1.141 -3.303 7.333
3.106 -1.623 4.404
6.224 3.002 3.608
4.260 1.791 0.806
3.106 1.895 4.874
3.106 -0.271 7.685
6.224 5.168 0.796
6.153 0.000 5.654
4.260 4.699 6.527
6.224 6.520 4.078
4.260 8.200 1.148
2.777 0.000 0.000
5.896 0.000 0.000
1.694 7.220 1.925
4.812 1.943 7.215
1.694 2.954 1.267
4.812 -2.323 6.557
1.694 4.517 5.290
4.812 0.380 3.191
2.160 0.000 5.654
5.279 4.897 2.827


3.
Be2TlBF | Alexandria via LeMat-Bulk | SCAN | PBEsol geometry; E_tot = -1.3610 Ry per atom
1.0
-1.510 -1.646 -2.898
3.056 0.586 -1.925
1.888 -4.562 1.608
F B Tl Be
1 1 1 2
Cartesian
0.944 -2.281 0.804
0.000 0.000 0.000
1.717 -2.811 -1.608
1.528 0.293 -0.963
-0.755 -0.823 -1.449


4.
FeTcSe2 | Alexandria via LeMat-Bulk | SCAN | PBEsol geometry; E_tot = -1.6980 Ry per atom; energy above the most stable polymorph in this dataset = 0 meV/atom
1.0
3.044 0.000 0.000
0.000 3.044 0.000
0.000 0.000 6.093
Tc Se Fe
1 2 1
Cartesian
1.522 1.522 0.000
0.000 0.000 1.549
0.000 0.000 4.544
1.522 1.522 3.047


Q: Which energy relative to the elements, uncorrected values were calculated for the entries above? A: -2431 -1844 -110 235, in meV per atom.